The following is a PBE calculation of crystalline LiTlGa at its relaxed geometry, from the Alexandria database.

Lattice parameters (Å, degrees): 3.360 5.627 7.949 67.11 90.00 107.37
Atoms (fractional coordinates):
Tl: 0.887 0.774 0.793
Tl: 0.113 0.226 0.207
Ga: 0.362 0.724 0.473
Ga: 0.638 0.276 0.527
Li: 0.144 0.288 0.822
Li: 0.856 0.712 0.178

Computed properties:
As for the energy of formation from the pure elements: -0.086 eV/atom. As for the volume: 131.0 Å³/cell. The raw total energy comes out at -2.52 eV/atom. The total moment comes out at 0.0 Bohr magnetons per cell. For the polymorph energy (0 for the lowest one), the calculation gives 14.6 meV/atom. Its space group is C2/m, No. 12.

---

The following is a PBE calculation of crystalline ZrInGeO6 at its relaxed geometry, from the Alexandria database.

Lattice parameters (Å, degrees): 4.815 4.815 9.553 90.00 90.00 90.00
Site moments in Bohr magnetons follow the coordinates.
Atoms (fractional coordinates):
O: 0.809 0.191 0.480  0.14
O: 0.782 0.218 0.841  0.20
O: 0.183 0.817 0.180  0.07
O: 0.218 0.782 0.841  0.20
O: 0.309 0.309 0.980  0.14
O: 0.191 0.809 0.480  0.14
O: 0.817 0.183 0.180  0.07
O: 0.683 0.683 0.680  0.07
O: 0.282 0.282 0.341  0.20
O: 0.718 0.718 0.341  0.20
O: 0.691 0.691 0.980  0.14
O: 0.317 0.317 0.680  0.07
In: 0.500 0.500 0.166  -0.01
In: 0.000 0.000 0.666  -0.01
Ge: 0.000 0.000 0.332  -0.01
Ge: 0.500 0.500 0.832  -0.01
Zr: 0.000 0.000 0.000  -0.03
Zr: 0.500 0.500 0.500  -0.03

Computed properties:
As for the volume: 221.4 Å³/cell. The raw total energy comes out at -7.00 eV/atom. The total moment comes out at 1.9 Bohr magnetons per cell. For the formation energy (no corrections), the calculation gives -1.93 eV/atom. Its space group is P4_2nm, No. 102.

---

The following is a PBE calculation of crystalline Pu3In5Cl12 at its relaxed geometry, from the Alexandria database.

Lattice parameters (Å, degrees): 15.187 15.187 15.187 109.47 109.47 109.47
Site moments in Bohr magnetons follow the coordinates.
Atoms (fractional coordinates):
Pu: 0.125 0.875 0.750  5.59
Pu: 0.625 0.375 0.750  5.59
Pu: 0.125 0.250 0.875  5.59
Pu: 0.875 0.750 0.125  5.59
Pu: 0.250 0.125 0.375  5.59
Pu: 0.750 0.375 0.125  5.59
Pu: 0.250 0.625 0.875  5.59
Pu: 0.750 0.875 0.625  5.59
Pu: 0.625 0.250 0.375  5.59
Pu: 0.375 0.625 0.250  5.59
Pu: 0.875 0.125 0.250  5.59
Pu: 0.375 0.750 0.625  5.59
In: 0.625 0.750 0.875  0.00
In: 0.250 0.375 0.625  0.00
In: 0.125 0.750 0.375  0.00
In: 0.000 0.000 0.000  0.00
In: 0.000 0.000 0.500  0.00
In: 0.500 0.500 0.000  0.00
In: 0.500 0.500 0.500  0.00
In: 0.875 0.250 0.625  0.00
In: 0.000 0.500 0.500  0.00
In: 0.625 0.875 0.250  0.00
In: 0.125 0.375 0.250  0.00
In: 0.750 0.625 0.375  0.00
In: 0.500 0.000 0.500  0.00
In: 0.250 0.875 0.125  0.00
In: 0.750 0.125 0.875  0.00
In: 0.375 0.125 0.750  0.00
In: 0.000 0.500 0.000  0.00
In: 0.375 0.250 0.125  0.00
In: 0.500 0.000 0.000  0.00
In: 0.875 0.625 0.750  0.00
Cl: 0.631 0.069 0.240  -0.02
Cl: 0.109 0.171 0.240  -0.02
Cl: 0.069 0.438 0.829  -0.02
Cl: 0.931 0.562 0.171  -0.02
Cl: 0.609 0.869 0.438  -0.02
Cl: 0.891 0.829 0.760  -0.02
Cl: 0.260 0.869 0.931  -0.02
Cl: 0.562 0.931 0.671  -0.02
Cl: 0.671 0.240 0.609  -0.02
Cl: 0.062 0.891 0.131  -0.02
Cl: 0.891 0.062 0.631  -0.02
Cl: 0.391 0.260 0.329  -0.02
Cl: 0.171 0.109 0.740  -0.02
Cl: 0.869 0.609 0.938  -0.02
Cl: 0.369 0.438 0.109  -0.02
Cl: 0.431 0.760 0.869  -0.02
Cl: 0.562 0.631 0.391  -0.02
Cl: 0.760 0.431 0.369  -0.02
Cl: 0.369 0.931 0.760  -0.02
Cl: 0.671 0.431 0.562  -0.02
Cl: 0.631 0.562 0.891  -0.02
Cl: 0.938 0.109 0.869  -0.02
Cl: 0.740 0.131 0.069  -0.02
Cl: 0.329 0.569 0.438  -0.02
Cl: 0.329 0.760 0.391  -0.02
Cl: 0.869 0.260 0.431  -0.02
Cl: 0.569 0.240 0.131  -0.02
Cl: 0.109 0.938 0.369  -0.02
Cl: 0.240 0.671 0.109  -0.02
Cl: 0.131 0.391 0.062  -0.02
Cl: 0.609 0.740 0.671  -0.02
Cl: 0.240 0.569 0.631  -0.02
Cl: 0.931 0.369 0.260  -0.02
Cl: 0.391 0.131 0.562  -0.02
Cl: 0.438 0.069 0.329  -0.02
Cl: 0.062 0.171 0.431  -0.02
Cl: 0.760 0.329 0.891  -0.02
Cl: 0.829 0.891 0.260  -0.02
Cl: 0.829 0.938 0.069  -0.02
Cl: 0.740 0.609 0.171  -0.02
Cl: 0.431 0.671 0.062  -0.02
Cl: 0.171 0.062 0.931  -0.02
Cl: 0.069 0.631 0.740  -0.02
Cl: 0.569 0.329 0.938  -0.02
Cl: 0.131 0.740 0.569  -0.02
Cl: 0.260 0.391 0.829  -0.02
Cl: 0.938 0.829 0.569  -0.02
Cl: 0.438 0.369 0.609  -0.02

Computed properties:
As for the volume: 2696.6 Å³/cell. The raw total energy comes out at -5.11 eV/atom. The total moment comes out at 68.0 Bohr magnetons per cell. For the formation energy (no corrections), the calculation gives -1.17 eV/atom. Its space group is Ia-3d, No. 230.

---

The following is a PBE calculation of crystalline EuDy2Pb at its relaxed geometry, from the Alexandria database.

Lattice parameters (Å, degrees): 4.201 4.201 6.990 90.00 90.00 90.00
Site moments in Bohr magnetons follow the coordinates.
Atoms (fractional coordinates):
Dy: 0.000 0.000 0.772  0.07
Dy: 0.000 0.000 0.228  0.07
Eu: 0.500 0.500 0.500  6.86
Pb: 0.500 0.500 0.000  -0.03

Computed properties:
As for the energy of formation from the pure elements: -0.143 eV/atom. As for the volume: 123.4 Å³/cell. The raw total energy comes out at -5.94 eV/atom. The total moment comes out at 7.4 Bohr magnetons per cell. For the polymorph energy (0 for the lowest one), the calculation gives 111.9 meV/atom. Its space group is P4/mmm, No. 123.

---

The following is a PBE calculation of crystalline TbNdLu2 at its relaxed geometry, from the Alexandria database.

Lattice parameters (Å, degrees): 4.949 5.032 5.032 90.00 90.00 90.00
Atoms (fractional coordinates):
Lu: 0.000 0.500 0.000
Lu: 0.000 0.000 0.500
Tb: 0.500 0.500 0.500
Nd: 0.500 0.000 0.000

Computed properties:
As for the energy of formation from the pure elements: 0.029 eV/atom. As for the volume: 125.3 Å³/cell. The raw total energy comes out at -4.58 eV/atom. The total moment comes out at 0.0 Bohr magnetons per cell. For the polymorph energy (0 for the lowest one), the calculation gives 1.5 meV/atom. Its space group is P4/mmm, No. 123.

---

The following is a PBE calculation of crystalline HgAs2Ir at its relaxed geometry, from the Alexandria database.

Lattice parameters (Å, degrees): 5.110 5.110 5.110 131.66 131.66 70.77
Atoms (fractional coordinates):
As: 0.000 0.000 0.000
As: 0.250 0.750 0.500
Hg: 0.500 0.500 0.000
Ir: 0.750 0.250 0.500

Computed properties:
As for the energy of formation from the pure elements: 0.542 eV/atom. As for the volume: 72.9 Å³/cell. The raw total energy comes out at -4.07 eV/atom. The total moment comes out at 0.0 Bohr magnetons per cell. Its space group is I-4m2, No. 119.

---

The following is a PBE calculation of crystalline GaRe2N at its relaxed geometry, from the Alexandria database.

Lattice parameters (Å, degrees): 4.159 4.159 4.159 60.00 60.00 60.00
Atoms (fractional coordinates):
Re: 0.750 0.750 0.750
Re: 0.250 0.250 0.250
Ga: 0.500 0.500 0.500
N: 0.000 0.000 0.000

Computed properties:
As for the volume: 50.9 Å³/cell. The raw total energy comes out at -7.84 eV/atom. The total moment comes out at 0.0 Bohr magnetons per cell. For the formation energy (no corrections), the calculation gives 1.22 eV/atom. For the polymorph energy (0 for the lowest one), the calculation gives 483.4 meV/atom. Its space group is Fm-3m, No. 225.

---

The following is a PBE calculation of crystalline W2SeCl at its relaxed geometry, from the Alexandria database.

Lattice parameters (Å, degrees): 4.421 4.421 4.421 60.00 60.00 60.00
Atoms (fractional coordinates):
Cl: 0.000 0.000 0.000
Se: 0.500 0.500 0.500
W: 0.750 0.750 0.750
W: 0.250 0.250 0.250

Computed properties:
As for the volume: 61.1 Å³/cell. The raw total energy comes out at -6.85 eV/atom. The total moment comes out at 0.0 Bohr magnetons per cell. For the formation energy (no corrections), the calculation gives 0.96 eV/atom. For the polymorph energy (0 for the lowest one), the calculation gives 993.5 meV/atom. Its space group is Fm-3m, No. 225.

---

The following is a PBE calculation of crystalline Y2AsIr at its relaxed geometry, from the Alexandria database.

Lattice parameters (Å, degrees): 3.424 3.424 7.904 90.00 90.00 90.00
Atoms (fractional coordinates):
As: 0.000 0.000 0.559
Y: 0.000 0.000 0.933
Y: 0.500 0.500 0.311
Ir: 0.500 0.500 0.697

Computed properties:
As for the energy of formation from the pure elements: -0.344 eV/atom. As for the volume: 92.7 Å³/cell. The raw total energy comes out at -6.95 eV/atom. The total moment comes out at 0.0 Bohr magnetons per cell. Its space group is P4mm, No. 99.

---

The following is a PBE calculation of crystalline CsBiTeS at its relaxed geometry, from the Alexandria database.

Lattice parameters (Å, degrees): 4.405 4.406 9.036 90.01 104.11 119.98
Atoms (fractional coordinates):
Te: 0.096 0.946 0.057
Bi: 0.288 0.542 0.846
S: 0.508 0.152 0.675
Cs: 0.986 0.392 0.392

Computed properties:
As for the volume: 145.8 Å³/cell. The raw total energy comes out at -3.66 eV/atom. The total moment comes out at 0.0 Bohr magnetons per cell. For the formation energy (no corrections), the calculation gives -0.66 eV/atom. Its space group is Cm, No. 8.

---

The following is a PBE calculation of crystalline PmY2SbO8 at its relaxed geometry, from the Alexandria database.

Lattice parameters (Å, degrees): 4.136 5.258 7.384 90.00 90.00 94.09
Site moments in Bohr magnetons follow the coordinates.
Atoms (fractional coordinates):
O: 0.051 0.756 0.214  0.14
O: 0.949 0.244 0.214  0.14
O: 0.577 0.785 0.000  0.31
O: 0.423 0.215 0.000  0.31
O: 0.949 0.244 0.786  0.14
O: 0.493 0.255 0.500  0.27
O: 0.507 0.745 0.500  0.27
O: 0.051 0.756 0.786  0.14
Y: 0.500 0.500 0.244  -0.01
Y: 0.500 0.500 0.756  -0.01
Sb: 0.000 0.000 0.000  -0.02
Pm: 0.000 0.000 0.500  -0.01

Computed properties:
As for the volume: 160.2 Å³/cell. The raw total energy comes out at -7.56 eV/atom. The total moment comes out at 2.0 Bohr magnetons per cell. For the formation energy (no corrections), the calculation gives -2.44 eV/atom. Its space group is P2/m, No. 10.

---

The following is a PBE calculation of crystalline RuAuSe at its relaxed geometry, from the Alexandria database.

Lattice parameters (Å, degrees): 3.668 3.668 5.349 90.00 90.00 120.00
Atoms (fractional coordinates):
Au: 0.000 0.000 0.053
Ru: 0.667 0.333 0.374
Se: 0.333 0.667 0.573

Computed properties:
As for the volume: 62.3 Å³/cell. The raw total energy comes out at -5.13 eV/atom. The total moment comes out at 0.0 Bohr magnetons per cell. For the formation energy (no corrections), the calculation gives 0.21 eV/atom. For the polymorph energy (0 for the lowest one), the calculation gives 106.7 meV/atom. Its space group is P3m1, No. 156.